Compound: PrS3I
Source: OQMD
Functional: PBE
Structure: relaxed

Cell lengths 4.368, 5.502, 7.079 Å; angles 112.31, 96.69, 92.57 degrees
Fractional coordinates of all 5 atoms:
S 0.913 0.958 0.712
I 0.834 0.428 0.649
Pr 0.491 0.098 0.028
S 0.058 0.273 0.301
S 0.578 0.576 0.976

## Properties
DFT total energy	-21.75	eV per formula unit